Entry from Alexandria: a relaxed Pm2TmPu crystal (PBE).

Calculated values
As for the energy above the most stable polymorph in this dataset: 97 meV per atom. As for the space group: No. 225. The total energy comes out at -27.47 eV/cell. The value obtained for the energy relative to the elements is 20.04 kJ per mole of atoms. The calculated volume comes out at 127.13 Å³/cell.

Unit cell a=5.644 b=5.644 c=5.644 alpha=60.00 beta=60.00 gamma=60.00
Fractional coordinates of all 4 atoms:
1 Tm 0.500 0.500 0.500
2 Pm 0.250 0.250 0.250
3 Pm 0.750 0.750 0.750
4 Pu 0.000 0.000 0.000

Entry from Alexandria: a relaxed TlCu2B2 crystal (PBE).

Calculated values
As for the energy above the most stable polymorph in this dataset: 0 meV per atom. As for the space group: No. 139. The total energy comes out at -20.74 eV/cell. The value obtained for the energy relative to the elements is 61.21 kJ per mole of atoms. The calculated volume comes out at 61.90 Å³/cell.

Unit cell a=3.719 b=3.719 c=5.190 alpha=69.00 beta=69.00 gamma=90.00
Fractional coordinates of all 5 atoms:
1 Tl 0.000 0.000 0.000
2 B 0.406 0.406 0.188
3 B 0.594 0.594 0.812
4 Cu 0.750 0.250 0.500
5 Cu 0.250 0.750 0.500

Entry from Alexandria: a relaxed AlBiP2S crystal (PBE).

Calculated values
As for the energy above the most stable polymorph in this dataset: 0 meV per atom. As for the space group: No. 123. The total energy comes out at -21.12 eV/cell. The calculated volume comes out at 103.54 Å³/cell. For the raw formation energy, the calculation gives 140 kJ/mol of formula units.

Unit cell a=4.739 b=4.739 c=4.611 alpha=90.00 beta=90.00 gamma=90.00
Fractional coordinates of all 5 atoms:
1 P 0.000 0.500 0.000
2 P 0.500 0.000 0.000
3 S 0.000 0.000 0.500
4 Bi 0.500 0.500 0.500
5 Al 0.000 0.000 0.000

Entry from Alexandria: a relaxed Cd3SbAs crystal (PBE).

Calculated values
As for the energy above the most stable polymorph in this dataset: 0 meV per atom. As for the space group: No. 14. The total energy comes out at -46.65 eV/cell. The calculated volume comes out at 558.74 Å³/cell. For the raw formation energy, the calculation gives -14 kJ/mol of formula units.

Unit cell a=6.997 b=8.807 c=11.556 alpha=128.31 beta=90.00 gamma=90.00
Fractional coordinates of all 20 atoms:
1 Cd 0.981 0.786 0.621
2 Cd 0.019 0.214 0.379
3 Cd 0.481 0.714 0.879
4 Cd 0.519 0.286 0.121
5 Cd 0.519 0.729 0.601
6 Cd 0.481 0.271 0.399
7 Cd 0.019 0.771 0.899
8 Cd 0.981 0.229 0.101
9 Cd 0.162 0.654 0.187
10 Cd 0.838 0.346 0.813
11 Cd 0.662 0.846 0.313
12 Cd 0.338 0.154 0.687
13 Sb 0.226 0.513 0.363
14 Sb 0.774 0.487 0.637
15 Sb 0.726 0.987 0.137
16 Sb 0.274 0.013 0.863
17 As 0.718 0.984 0.591
18 As 0.282 0.016 0.409
19 As 0.218 0.516 0.909
20 As 0.782 0.484 0.091

Entry from Alexandria: a relaxed CaLa3Ge2 crystal (PBE).

Calculated values
As for the space group: No. 26. The total energy comes out at -58.82 eV/cell. The value obtained for the energy relative to the elements is -54.51 kJ per mole of atoms. The calculated volume comes out at 359.47 Å³/cell.

Unit cell a=4.748 b=7.776 c=9.736 alpha=90.00 beta=90.00 gamma=90.00
Fractional coordinates of all 12 atoms:
1 Ca 0.500 0.535 0.577
2 Ca 0.500 0.035 0.423
3 La 0.000 0.457 0.926
4 La 0.000 0.957 0.074
5 La 0.500 0.647 0.183
6 La 0.500 0.147 0.817
7 La 0.000 0.361 0.323
8 La 0.000 0.861 0.677
9 Ge 0.500 0.734 0.869
10 Ge 0.500 0.234 0.131
11 Ge 0.000 0.266 0.627
12 Ge 0.000 0.766 0.373

Entry from Alexandria: a relaxed NiSnHgPt2 crystal (PBE).

Calculated values
As for the space group: No. 123. The total energy comes out at -18.10 eV/cell. The value obtained for the energy relative to the elements is 78.59 kJ per mole of atoms. The calculated volume comes out at 115.95 Å³/cell.

Unit cell a=4.981 b=4.673 c=4.981 alpha=90.00 beta=90.00 gamma=90.00
Fractional coordinates of all 5 atoms:
1 Ni 0.000 0.500 0.000
2 Hg 0.500 0.500 0.500
3 Pt 0.000 0.000 0.500
4 Pt 0.500 0.000 0.000
5 Sn 0.000 0.000 0.000

Entry from Alexandria: a relaxed TaMn2Sb crystal (PBE).

Calculated values
As for the space group: No. 122. The total energy comes out at -64.02 eV/cell. The calculated volume comes out at 143.25 Å³/cell. For the raw formation energy, the calculation gives 222 kJ/mol of formula units.

Unit cell a=7.198 b=7.198 c=5.792 alpha=51.59 beta=51.59 gamma=90.00
Fractional coordinates of all 8 atoms:
1 Sb 0.500 0.500 0.000
2 Sb 0.250 0.750 0.500
3 Mn 0.631 0.125 0.250
4 Mn 0.119 0.625 0.250
5 Mn 0.375 0.369 0.750
6 Mn 0.875 0.881 0.750
7 Ta 0.000 0.000 0.000
8 Ta 0.750 0.250 0.500

Entry from Alexandria: a relaxed VCu4Sb crystal (PBE).

Calculated values
As for the space group: No. 216. The total energy comes out at -28.69 eV/cell. The calculated volume comes out at 87.26 Å³/cell. For the raw formation energy, the calculation gives 90 kJ/mol of formula units.

Unit cell a=4.979 b=4.979 c=4.979 alpha=60.00 beta=60.00 gamma=60.00
Fractional coordinates of all 6 atoms:
1 Sb 0.000 0.000 0.000
2 Cu 0.624 0.624 0.128
3 Cu 0.624 0.128 0.624
4 Cu 0.624 0.624 0.624
5 Cu 0.128 0.624 0.624
6 V 0.250 0.250 0.250